No. 1
VASP calculation (PBE-GGA) on a geometry-optimized B3C2 structure.

Cell and atoms, written as POSCAR:
```
B3C2
1.0
4.2148 -1.3613 0.0000
4.2148 1.3613 0.0000
-0.1425 0.0000 3.0488
B C
3 2
Direct
0.0000 0.0000 0.0000 B
0.2641 0.2641 0.2662 B
0.6182 0.6182 0.5225 B
0.1688 0.1688 0.7658 C
0.4497 0.4497 0.1981 C
```

Summary:
Formation enthalpy at 0 K in meV/atom: 409.9



No. 2
VASP calculation (PBE-GGA) on a geometry-optimized BC structure.

Cell and atoms, written as POSCAR:
```
BC
1.0
2.3271 -4.1084 0.0000
2.3271 4.1084 0.0000
-1.9153 0.0000 4.2918
B C
6 6
Direct
0.0030 0.0030 0.3219 B
0.2467 0.5852 0.2469 B
0.4095 0.3881 0.7088 B
0.4148 0.7533 0.7531 B
0.6119 0.5905 0.2912 B
0.9970 0.9970 0.6781 B
0.0968 0.7592 0.8201 C
0.2408 0.9032 0.1799 C
0.6207 0.2582 0.3153 C
0.7418 0.3793 0.6847 C
0.7801 0.1234 0.8185 C
0.8766 0.2199 0.1815 C
```

Summary:
Formation enthalpy at 0 K in meV/atom: 439.4